No. 1
A relaxed structure of Zr2N2O. Source: Alexandria, functional GGA-PBEsol.

Space group: No. 62
Formation energy (no corrections) (eV per atom): -2.209
DFT total energy (eV per atom): -10.3051

abc: 3.109 8.405 8.471
angles: 90.00 90.00 90.00
Positions (direct):
Zr  0.250  0.001  0.182
Zr  0.750  0.179  0.495
Zr  0.750  0.321  0.995
Zr  0.250  0.499  0.682
Zr  0.750  0.501  0.318
Zr  0.250  0.679  0.005
Zr  0.250  0.821  0.505
Zr  0.750  0.999  0.818
N  0.250  0.056  0.625
N  0.250  0.133  0.953
N  0.250  0.367  0.453
N  0.250  0.444  0.125
N  0.750  0.556  0.875
N  0.750  0.633  0.547
N  0.750  0.867  0.047
N  0.750  0.944  0.375
O  0.750  0.191  0.227
O  0.750  0.309  0.727
O  0.250  0.691  0.273
O  0.250  0.809  0.773

=====

No. 2
A relaxed structure of CuH6C2SeI. Source: Alexandria, functional GGA-PBEsol.

Space group: No. 14
DFT total energy (eV per atom): -4.5835

abc: 6.983 7.627 10.921
angles: 92.09 90.00 90.00
Positions (direct):
Cu  0.461  0.498  0.118
Cu  0.961  0.502  0.382
Cu  0.539  0.502  0.882
Cu  0.039  0.498  0.618
H  0.015  0.820  0.133
H  0.515  0.180  0.367
H  0.985  0.180  0.867
H  0.485  0.820  0.633
H  0.257  0.905  0.152
H  0.757  0.095  0.348
H  0.743  0.095  0.848
H  0.243  0.905  0.652
H  0.087  0.920  0.279
H  0.587  0.080  0.221
H  0.913  0.080  0.721
H  0.413  0.920  0.779
H  0.432  0.601  0.435
H  0.932  0.399  0.065
H  0.568  0.399  0.565
H  0.068  0.601  0.935
H  0.505  0.777  0.339
H  0.005  0.223  0.161
H  0.495  0.223  0.661
H  0.995  0.777  0.839
H  0.296  0.803  0.439
H  0.796  0.197  0.061
H  0.704  0.197  0.561
H  0.204  0.803  0.939
C  0.135  0.843  0.197
C  0.635  0.157  0.303
C  0.865  0.157  0.803
C  0.365  0.843  0.697
C  0.383  0.712  0.382
C  0.883  0.288  0.118
C  0.617  0.288  0.618
C  0.117  0.712  0.882
Se  0.216  0.615  0.254
Se  0.716  0.385  0.246
Se  0.784  0.385  0.746
Se  0.284  0.615  0.754
I  0.366  0.238  0.975
I  0.866  0.762  0.525
I  0.634  0.762  0.025
I  0.134  0.238  0.475

=====

No. 3
A relaxed structure of AlZnCd. Source: Alexandria, functional GGA-PBEsol.

Space group: No. 216
DFT total energy (eV per atom): -2.0569
Distance to the lowest polymorph of the same formula (meV/atom): 123.5
ΔH_f (0 K) (eV/atom): 0.233

abc: 4.388 4.388 4.388
angles: 60.00 60.00 60.00
Positions (direct):
Zn  0.000  0.000  0.000
Al  0.500  0.500  0.500
Cd  0.750  0.750  0.750

=====

No. 4
A relaxed structure of U2Te5. Source: Alexandria, functional GGA-PBEsol.

Space group: No. 12
Formation energy (no corrections) (eV per atom): -0.491
DFT total energy (eV per atom): -6.4832

abc: 4.059 6.017 16.855
angles: 95.25 96.92 90.00
Site moments in Bohr magnetons follow the coordinates.
Positions (direct):
Te  0.122  0.063  0.244  -0.08
Te  0.878  0.937  0.756  -0.08
Te  0.701  0.354  0.403  -0.06
Te  0.299  0.646  0.597  -0.06
Te  0.298  0.148  0.596  -0.06
Te  0.000  0.749  0.000  -0.06
Te  0.419  0.458  0.838  -0.08
Te  0.702  0.852  0.404  -0.06
Te  0.000  0.251  0.000  -0.06
Te  0.581  0.542  0.162  -0.08
U  0.850  0.422  0.700  1.81
U  0.150  0.578  0.300  1.81
U  0.555  0.028  0.109  2.11
U  0.445  0.972  0.891  2.11

=====

No. 5
A relaxed structure of BaZrHg2. Source: Alexandria, functional GGA-PBEsol.

Space group: No. 123
DFT total energy (eV per atom): -3.1903
ΔH_f (0 K) (eV/atom): -0.097

abc: 3.315 5.588 5.591
angles: 90.00 90.00 90.00
Positions (direct):
Ba  0.500  0.000  0.500
Hg  0.000  0.000  0.000
Hg  0.000  0.500  0.500
Zr  0.500  0.500  0.000

=====

No. 6
A relaxed structure of MnTlTe2. Source: Alexandria, functional GGA-PBEsol.

Space group: No. 119
Formation energy (no corrections) (eV per atom): 0.318
DFT total energy (eV per atom): -4.5426

abc: 4.206 4.206 6.705
angles: 108.28 108.28 90.00
Site moments in Bohr magnetons follow the coordinates.
Positions (direct):
Mn  0.250  0.750  0.500  4.28
Te  0.000  0.000  0.000  0.04
Te  0.750  0.250  0.500  0.04
Tl  0.500  0.500  0.000  0.01

=====

No. 7
A relaxed structure of SrAlZn. Source: Alexandria, functional GGA-PBEsol.

Space group: No. 187
DFT total energy (eV per atom): -2.7024
ΔH_f (0 K) (eV/atom): -0.198

abc: 3.953 4.630 4.630
angles: 120.00 90.00 90.00
Positions (direct):
Sr  0.000  0.333  0.667
Zn  0.500  0.667  0.333
Al  0.500  0.000  0.000

=====

No. 8
A relaxed structure of Mg2ZnRuPb. Source: Alexandria, functional GGA-PBEsol.

Space group: No. 123
DFT total energy (eV per atom): -3.2787
ΔH_f (0 K) (eV/atom): 0.559

abc: 4.614 4.812 4.812
angles: 90.00 90.00 90.00
Site moments in Bohr magnetons follow the coordinates.
Positions (direct):
Pb  0.500  0.500  0.500  0.00
Ru  0.500  0.000  0.000  0.32
Zn  0.000  0.000  0.000  0.00
Mg  0.000  0.000  0.500  0.00
Mg  0.000  0.500  0.000  0.00